VASP calculation (PBE) on crystalline La5Sm2Hg at its relaxed geometry.

Computed properties:
E_form, kJ per mole of atoms: -7.3

abc: 10.237 10.256 10.117
angles: 90.00 90.00 90.00
Space group Fmm2 (No. 42)
Unique sites:
La1 0.000 0.000 0.000
La2 0.000 0.249 0.749
La3 0.250 0.000 0.250
Sm1 0.250 0.250 0.000
Hg1 0.000 0.000 0.499